Version a
Here is a geometry-optimized LiCdW3 structure from the Alexandria database. Energies are from PBE-GGA.

- Calculated density: 9.45 g cm⁻³
- SG: No. 221
- Magnetization: 0.00 μB/f.u.

Structure (POSCAR):
```
LiCdW3
1.0
4.903 0.000 0.000
0.000 4.903 0.000
0.000 0.000 4.903
Li Cd W
1 1 3
Cartesian
0.000 0.000 0.000
2.452 2.452 2.452
0.000 2.452 2.452
2.452 0.000 2.452
2.452 2.452 0.000
```



Version b
Here is a geometry-optimized LiCdW3 structure from the Alexandria database. Energies are from PBE-GGA.

- Calculated density: 13.94 g cm⁻³
- SG: No. 221
- Magnetization: 0.00 μB/f.u.

Structure (POSCAR):
```
LiCdW3
1.0
4.307 0.000 0.000
0.000 4.307 0.000
0.000 0.000 4.307
Li Cd W
1 1 3
Cartesian
0.000 0.000 0.000
2.154 2.154 2.154
0.000 0.000 2.154
0.000 2.154 0.000
2.154 0.000 0.000
```



Result of the stability comparison: version a is the least stable of them.



Version a
Here is a geometry-optimized Li2Cd2W structure from the Alexandria database. Energies are from PBE-GGA.

- Calculated density: 8.04 g cm⁻³
- SG: No. 139
- Magnetization: 1.99 μB/f.u.

Structure (POSCAR):
```
Li2Cd2W
1.0
-2.388 2.388 3.828
2.388 -2.388 3.828
2.388 2.388 -3.828
Li Cd W
2 2 1
Cartesian
0.000 0.000 1.040
0.000 0.000 6.617
2.388 0.000 1.914
0.000 2.388 1.914
0.000 0.000 3.828
```



Version b
Here is a geometry-optimized Li2Cd2W structure from the Alexandria database. Energies are from PBE-GGA.

- Calculated density: 8.64 g cm⁻³
- SG: No. 127
- Magnetization: 0.00 μB/f.u.

Structure (POSCAR):
```
Li2Cd2W
1.0
7.685 0.000 0.000
0.000 7.685 0.000
0.000 0.000 2.751
Li Cd W
4 4 2
Cartesian
0.937 2.905 0.000
2.905 6.748 0.000
4.779 0.937 0.000
6.748 4.779 0.000
1.370 5.213 1.375
2.472 1.370 1.375
5.213 6.314 1.375
6.314 2.472 1.375
0.000 0.000 0.000
3.842 3.842 0.000
```



Result of the stability comparison: version a is the least stable of them.



Version a
Here is a geometry-optimized LiCd2W2 structure from the Alexandria database. Energies are from PBE-GGA.

- Calculated density: 9.76 g cm⁻³
- SG: No. 127
- Magnetization: 0.00 μB/f.u.

Structure (POSCAR):
```
LiCd2W2
1.0
8.605 0.000 0.000
0.000 8.605 0.000
0.000 0.000 2.755
Li Cd W
2 4 4
Cartesian
0.000 0.000 0.000
4.302 4.302 0.000
1.636 2.666 1.377
2.666 6.968 1.377
5.939 1.636 1.377
6.968 5.939 1.377
0.878 5.181 0.000
3.424 0.878 0.000
5.181 7.727 0.000
7.727 3.424 0.000
```



Version b
Here is a geometry-optimized LiCd2W2 structure from the Alexandria database. Energies are from PBE-GGA.

- Calculated density: 9.61 g cm⁻³
- SG: No. 139
- Magnetization: 0.00 μB/f.u.

Structure (POSCAR):
```
LiCd2W2
1.0
-1.995 1.995 6.506
1.995 -1.995 6.506
1.995 1.995 -6.506
Li Cd W
1 2 2
Cartesian
0.000 0.000 0.000
1.995 0.000 3.253
0.000 1.995 3.253
0.000 0.000 5.381
0.000 0.000 7.631
```



Result of the stability comparison: version b is the least stable of them.



Version a
Here is a geometry-optimized Li2Y2Cd structure from the Alexandria database. Energies are from PBE-GGA.

- Calculated density: 3.89 g cm⁻³
- SG: No. 139
- Magnetization: 0.00 μB/f.u.

Structure (POSCAR):
```
Li2Y2Cd
1.0
-1.856 1.856 9.419
1.856 -1.856 9.419
1.856 1.856 -9.419
Li Y Cd
2 2 1
Cartesian
1.856 0.000 4.709
0.000 1.856 4.709
0.000 0.000 1.855
0.000 0.000 16.983
0.000 0.000 9.419
```



Version b
Here is a geometry-optimized Li2Y2Cd structure from the Alexandria database. Energies are from PBE-GGA.

- Calculated density: 4.19 g cm⁻³
- SG: No. 127
- Magnetization: 1.23 μB/f.u.

Structure (POSCAR):
```
Li2Y2Cd
1.0
6.975 0.000 0.000
0.000 6.975 0.000
0.000 0.000 4.955
Li Y Cd
4 4 2
Cartesian
0.892 2.595 0.000
2.595 6.083 0.000
4.380 0.892 0.000
6.083 4.380 0.000
1.270 4.757 2.478
2.218 1.270 2.478
4.757 5.706 2.478
5.706 2.218 2.478
0.000 0.000 0.000
3.488 3.488 0.000
```



Result of the stability comparison: version a is the least stable of them.



Version a
Here is a geometry-optimized LiY2Cd2 structure from the Alexandria database. Energies are from PBE-GGA.

- Calculated density: 5.07 g cm⁻³
- SG: No. 127
- Magnetization: 0.00 μB/f.u.

Structure (POSCAR):
```
LiY2Cd2
1.0
8.056 0.000 0.000
0.000 8.056 0.000
0.000 0.000 4.131
Li Y Cd
2 4 4
Cartesian
0.000 0.000 0.000
4.028 4.028 0.000
1.292 2.736 2.065
2.736 6.764 2.065
5.320 1.292 2.065
6.764 5.320 2.065
1.112 5.140 0.000
2.915 1.112 0.000
5.140 6.943 0.000
6.943 2.915 0.000
```



Version b
Here is a geometry-optimized LiY2Cd2 structure from the Alexandria database. Energies are from PBE-GGA.

- Calculated density: 4.89 g cm⁻³
- SG: No. 127
- Magnetization: 0.50 μB/f.u.

Structure (POSCAR):
```
LiY2Cd2
1.0
8.909 0.000 0.000
0.000 8.909 0.000
0.000 0.000 3.508
Li Y Cd
2 4 4
Cartesian
0.000 0.000 0.000
4.454 4.454 0.000
1.265 3.189 0.000
3.189 7.644 0.000
5.719 1.265 0.000
7.644 5.719 0.000
1.381 5.836 1.754
3.073 1.381 1.754
5.836 7.528 1.754
7.528 3.073 1.754
```



Result of the stability comparison: version b is the least stable of them.



Version a
Here is a geometry-optimized LiY4Cd structure from the Alexandria database. Energies are from PBE-GGA.

- Calculated density: 4.12 g cm⁻³
- SG: No. 123
- Magnetization: 0.00 μB/f.u.

Structure (POSCAR):
```
LiY4Cd
1.0
5.105 0.000 0.000
0.000 5.105 0.000
0.000 0.000 7.353
Li Y Cd
1 4 1
Cartesian
0.000 0.000 0.000
0.000 2.553 1.859
0.000 2.553 5.494
2.553 0.000 1.859
2.553 0.000 5.494
2.553 2.553 3.677
```



Version b
Here is a geometry-optimized LiY4Cd structure from the Alexandria database. Energies are from PBE-GGA.

- Calculated density: 4.20 g cm⁻³
- SG: No. 216
- Magnetization: 0.00 μB/f.u.

Structure (POSCAR):
```
LiY4Cd
1.0
0.000 4.547 4.547
4.547 0.000 4.547
4.547 4.547 0.000
Li Y Cd
1 4 1
Cartesian
0.000 0.000 0.000
5.676 3.417 3.417
3.417 5.676 3.417
3.417 3.417 5.676
5.676 5.676 5.676
2.273 2.273 2.273
```



Result of the stability comparison: version b is the least stable of them.